The following is a DFT calculation (GGA-PBE) of a relaxed AcPm2Y8 crystal.

a b c (Å): 9.6020 9.6020 9.6020
angles (deg): 146.37 128.78 62.68
Positions (direct):
Ac 0.0000 0.0000 0.0000
Pm 0.3010 0.3010 0.0000
Pm 0.6990 0.6990 0.0000
Y 0.1494 0.8551 0.2943
Y 0.1616 0.6616 0.5000
Y 0.2966 0.5000 0.7966
Y 0.4392 0.1449 0.2943
Y 0.5608 0.8551 0.7057
Y 0.7034 0.5000 0.2034
Y 0.8384 0.3384 0.5000
Y 0.8506 0.1449 0.7057

Values from the calculation:
The value obtained for the calculated total energy is -0.4274 Ry per atom. The space group is No. 71. The formation energy is 0.123 eV per atom.